Below is crystalline GaSn3Pt3 at its relaxed geometry, with properties calculated at the PBE level.

abc: 7.733 10.473 7.203
angles: 90.00 94.83 90.00
Space group C2/m (No. 12)
Unique sites:
Ga 0.223 0.000 0.356 [4 per cell]
Sn 0.000 0.142 0.000 [4 per cell]
Sn 0.000 0.225 0.500 [4 per cell]
Sn 0.045 0.500 0.195 [4 per cell]
Pt 0.119 0.000 0.685 [4 per cell]
Pt 0.210 0.287 0.793 [8 per cell]

Summary:
crystal system	monoclinic
magnetic moment	0.00	μB/cell
calculated density	11.55	Mg/m³
E_form	-0.359	eV per atom


Below is crystalline ZnBiSeBr2 at its relaxed geometry, with properties calculated at the PBE level.

abc: 5.730 5.730 5.600
angles: 90.00 90.00 90.00
Space group P4/mmm (No. 123)
Unique sites:
Zn 0.000 0.000 0.000 [1 per cell]
Bi 0.500 0.500 0.500 [1 per cell]
Se 0.500 0.500 0.000 [1 per cell]
Br 0.000 0.500 0.500 [2 per cell]

Summary:
ΔE to the lowest computed polymorph	136	meV per atom
ΔE_f (raw)	0.010	eV/atom
crystal system	tetragonal
magnetic moment	0.66	μB/cell
calculated density	4.63	Mg/m³